NaCeSn | PBE-GGA | relaxed

Cell and atoms, written as POSCAR:
```
NaCeSn
1.0
-3.771 -1.395 -1.395
-1.139 -0.917 3.997
0.615 5.627 -0.799
Sn Na Ce
1 1 1
direct
0.290 0.290 0.579
0.621 0.621 0.241
0.940 0.940 0.880
```

Values from the calculation:
Fermi-level density of states = 2.8585 states/eV per atom
Symmetry = I4mm, No. 107
Electronic total energy = -11.47 eV/f.u.
Excess energy over the best structure of this formula in the dataset = 132.0 meV/atom
Theoretical density = 5.3 g cm⁻³
M_tot = 1.3 Bohr magnetons per cell